# 1
SrFe2Tc | the Alexandria database | PBE | relaxed; space group = Imm2; total energy = -51.43 eV/cell; formation energy from the elements = 0.81 eV per atom
1.0
2.797 0.000 0.000
0.000 5.015 0.000
0.000 0.000 9.854
Sr Fe Tc
2 4 2
Cartesian
0.000 0.000 0.000
1.399 2.508 4.927
0.000 0.000 4.867
0.000 2.508 7.771
1.399 0.000 2.844
1.399 2.508 9.794
0.000 2.508 2.060
1.399 0.000 6.986

# 2
SrFe2Tc | the Alexandria database | PBE | relaxed; space group = P4/mmm; total energy = -26.79 eV/cell; formation energy from the elements = 0.55 eV per atom
1.0
3.233 0.000 0.000
0.000 3.233 0.000
0.000 0.000 7.071
Sr Fe Tc
1 2 1
Cartesian
0.000 0.000 0.000
1.616 1.616 2.372
1.616 1.616 4.699
0.000 0.000 3.535

# 3
SrFeTc2 | the Alexandria database | PBE | relaxed; space group = R3m; total energy = -87.27 eV/cell; formation energy from the elements = 0.45 eV per atom
1.0
4.272 0.000 0.000
-2.136 3.699 0.000
0.000 0.000 17.104
Sr Fe Tc
3 3 6
Cartesian
0.000 0.000 0.000
0.000 2.466 11.403
2.136 1.233 5.701
0.000 0.000 3.356
0.000 2.466 14.759
2.136 1.233 9.057
0.000 0.000 8.373
0.000 0.000 13.810
0.000 2.466 2.671
0.000 2.466 8.109
2.136 1.233 2.407
2.136 1.233 14.074

# 4
Sr2FeTc | the Alexandria database | PBE | relaxed; space group = I4/mmm; total energy = -35.95 eV/cell; formation energy from the elements = 1.05 eV per atom
1.0
4.837 0.000 0.000
0.000 4.837 0.000
0.000 0.000 8.716
Sr Fe Tc
4 2 2
Cartesian
0.000 2.419 2.179
0.000 2.419 6.537
2.419 0.000 2.179
2.419 0.000 6.537
0.000 0.000 0.000
2.419 2.419 4.358
0.000 0.000 4.358
2.419 2.419 0.000

# 5
SrFe4Tc | the Alexandria database | PBE | relaxed; space group = F-43m; total energy = -42.36 eV/cell; formation energy from the elements = 0.59 eV per atom
1.0
0.000 3.545 3.545
3.545 0.000 3.545
3.545 3.545 0.000
Sr Fe Tc
1 4 1
Cartesian
0.000 0.000 0.000
2.671 2.671 2.671
4.420 4.420 2.671
4.420 2.671 4.420
2.671 4.420 4.420
5.318 5.318 5.318

# 6
Sr2FeTc | the Alexandria database | PBE | relaxed; space group = Fm-3m; total energy = -67.43 eV/cell; formation energy from the elements = 1.33 eV per atom
1.0
7.379 0.000 0.000
0.000 7.379 0.000
0.000 0.000 7.379
Sr Fe Tc
8 4 4
Cartesian
1.845 1.845 1.845
1.845 1.845 5.534
1.845 5.534 1.845
1.845 5.534 5.534
5.534 1.845 1.845
5.534 1.845 5.534
5.534 5.534 1.845
5.534 5.534 5.534
0.000 0.000 0.000
0.000 3.689 3.689
3.689 0.000 3.689
3.689 3.689 0.000
0.000 0.000 3.689
0.000 3.689 0.000
3.689 0.000 0.000
3.689 3.689 3.689